(1)
The following is a DFT calculation (PBE) of NaTl6Sb2 after structural relaxation.

For the energy relative to the lowest polymorph listed for this composition, the calculation gives 0 meV/atom.

It has space group C2/m (No. 12), with a = 12.985 Å, b = 5.158 Å, c = 10.516 Å, α = 90.00°, β = 127.46° and γ = 90.00°. The inequivalent atoms are Na at (0.000, 0.000, 0.000), Tl at (0.044, 0.000, 0.369), Tl at (0.171, 0.500, 0.993), Tl at (0.173, 0.500, 0.652) and Sb at (0.140, 0.500, 0.272).

(2)
The following is a DFT calculation (PBE) of NaTl2Sb3 after structural relaxation.

For the energy relative to the lowest polymorph listed for this composition, the calculation gives 0 meV/atom.

It has space group C2/c (No. 15), with a = 6.704 Å, b = 11.346 Å, c = 9.834 Å, α = 90.00°, β = 92.26° and γ = 90.00°. The inequivalent atoms are Na at (0.000, 0.124, 0.250), Tl at (0.184, 0.395, 0.069), Sb at (0.000, 0.348, 0.750) and Sb at (0.181, 0.160, 0.593).

(3)
The following is a DFT calculation (PBE) of Na2Tl7Sb2 after structural relaxation.

It has space group C2/m (No. 12), with a = 9.163 Å, b = 10.010 Å, c = 7.783 Å, α = 90.00°, β = 105.64° and γ = 90.00°. The inequivalent atoms are Na at (0.199, 0.000, 0.473), Tl at (0.000, 0.000, 0.000), Tl at (0.089, 0.500, 0.815), Tl at (0.189, 0.281, 0.191) and Sb at (0.000, 0.266, 0.500).

(4)
The following is a DFT calculation (PBE) of NaTl5Sb3 after structural relaxation.

It has space group C2/m (No. 12), with a = 14.571 Å, b = 9.905 Å, c = 11.259 Å, α = 90.00°, β = 126.37° and γ = 90.00°. The inequivalent atoms are Na at (0.236, 0.000, 0.333), Tl at (0.000, 0.308, 0.000), Tl at (0.121, 0.285, 0.766), Tl at (0.167, 0.000, 0.598), Tl at (0.213, 0.500, 0.042), Sb at (0.000, 0.000, 0.000), Sb at (0.000, 0.500, 0.500), Sb at (0.009, 0.000, 0.738) and Sb at (0.074, 0.500, 0.285).

(5)
The following is a DFT calculation (PBE) of Na2TlSb after structural relaxation.

For the energy relative to the lowest polymorph listed for this composition, the calculation gives 98 meV/atom.

It has space group P4/mmm (No. 123), with a = 4.768 Å, b = 4.768 Å, c = 4.803 Å, α = 90.00°, β = 90.00° and γ = 90.00°. The inequivalent atoms are Na at (0.000, 0.500, 0.000), Tl at (0.000, 0.000, 0.500) and Sb at (0.500, 0.500, 0.500).

(6)
The following is a DFT calculation (PBE) of NaTlSb3 after structural relaxation.

For the energy relative to the lowest polymorph listed for this composition, the calculation gives 662 meV/atom.

It has space group Pm-3m (No. 221), with a = 5.508 Å, b = 5.508 Å, c = 5.508 Å, α = 90.00°, β = 90.00° and γ = 90.00°. The inequivalent atoms are Na at (0.000, 0.000, 0.000), Tl at (0.500, 0.500, 0.500) and Sb at (0.000, 0.000, 0.500).

| no. | Fermi-level density of states (states/eV/cell) | raw formation energy (kcal/mol of atoms) |
| --- | --- | --- |
| 1 | 4.5 | -1.6 |
| 2 | 10.8 | -2.0 |
| 3 | 9.9 | -1.7 |
| 4 | 15.8 | 1.1 |
| 5 | 2.5 | -5.1 |
| 6 | 3.9 | 13.3 |